La2Al3Pd12Pt: relaxed, PBE-GGA.

Calculated values
calculated density: 9.3 g cm⁻³
magnetization: 0.0 Bohr magnetons per cell
final energy: -0.199 hartree per atom
energy of formation from the pure elements: -0.459 eV/atom

Cell and atoms, written as POSCAR:
```
La2Al3Pd12Pt
1.0
6.690 -1.447 -1.027
2.045 6.532 -1.027
2.045 1.190 6.504
Al Pd La Pt
3 12 2 1
Direct
0.000 0.500 0.000
0.500 0.000 0.000
0.000 0.000 0.500
0.382 0.382 0.913
0.913 0.382 0.382
0.811 0.311 0.811
0.087 0.618 0.618
0.618 0.087 0.618
0.382 0.913 0.382
0.189 0.189 0.689
0.811 0.811 0.311
0.189 0.689 0.189
0.689 0.189 0.189
0.618 0.618 0.087
0.311 0.811 0.811
0.352 0.352 0.352
0.648 0.648 0.648
0.000 0.000 0.000
```


La2Al4Pd3Pt: relaxed, PBE-GGA.

Calculated values
calculated density: 7.5 g cm⁻³
magnetization: 0.0 Bohr magnetons per cell
final energy: -0.205 hartree per atom
energy of formation from the pure elements: -0.924 eV/atom

Cell and atoms, written as POSCAR:
```
La2Al4Pd3Pt
1.0
4.412 0.000 0.000
0.000 4.412 0.000
0.000 0.000 10.222
Pt Pd Al La
1 3 4 2
Direct
0.500 0.500 0.500
0.000 0.000 0.500
0.500 0.000 0.870
0.000 0.500 0.130
0.500 0.000 0.623
0.500 0.500 0.000
0.000 0.500 0.377
0.000 0.000 0.000
0.000 0.500 0.749
0.500 0.000 0.251
```


La2Al3PdPt12: relaxed, PBE-GGA.

Calculated values
calculated density: 12.7 g cm⁻³
magnetization: 0.0 Bohr magnetons per cell
final energy: -0.218 hartree per atom
energy of formation from the pure elements: -0.450 eV/atom

Cell and atoms, written as POSCAR:
```
La2Al3PdPt12
1.0
-6.286 4.656 1.120
-5.231 -2.155 5.517
-0.282 4.252 6.655
Pt La Al Pd
12 2 3 1
Direct
0.630 0.630 0.115
0.134 0.134 0.614
0.134 0.614 0.134
0.115 0.630 0.630
0.866 0.866 0.386
0.866 0.386 0.866
0.370 0.370 0.885
0.370 0.885 0.370
0.630 0.115 0.630
0.614 0.134 0.134
0.386 0.866 0.866
0.885 0.370 0.370
0.380 0.380 0.380
0.620 0.620 0.620
0.000 0.000 0.500
0.000 0.500 0.000
0.500 0.000 0.000
0.000 0.000 0.000
```


LaAl4Pd2Pt: relaxed, PBE-GGA.

Calculated values
calculated density: 7.4 g cm⁻³
magnetization: 0.0 Bohr magnetons per cell
final energy: -0.197 hartree per atom
energy of formation from the pure elements: -0.817 eV/atom

Cell and atoms, written as POSCAR:
```
LaAl4Pd2Pt
1.0
4.302 0.000 0.000
2.151 3.725 0.000
2.151 1.242 9.224
Al La Pd Pt
4 1 2 1
Direct
0.134 0.134 0.598
0.406 0.406 0.782
0.594 0.594 0.218
0.866 0.866 0.402
0.000 0.000 0.000
0.234 0.234 0.297
0.766 0.766 0.703
0.500 0.500 0.500
```


La2Al4PdPt3: relaxed, PBE-GGA.

Calculated values
calculated density: 9.1 g cm⁻³
magnetization: 0.0 Bohr magnetons per cell
final energy: -0.217 hartree per atom
energy of formation from the pure elements: -1.085 eV/atom

Cell and atoms, written as POSCAR:
```
La2Al4PdPt3
1.0
4.373 0.000 0.000
0.000 4.373 0.000
0.000 0.000 10.323
Pt Al La Pd
3 4 2 1
Direct
0.000 0.500 0.131
0.000 0.000 0.500
0.500 0.000 0.869
0.500 0.000 0.624
0.000 0.000 0.000
0.500 0.500 0.000
0.000 0.500 0.376
0.000 0.500 0.752
0.500 0.000 0.248
0.500 0.500 0.500
```


La2AlPd6Pt: relaxed, PBE-GGA.

Calculated values
calculated density: 9.2 g cm⁻³
magnetization: 0.0 Bohr magnetons per cell
final energy: -0.211 hartree per atom
energy of formation from the pure elements: -0.649 eV/atom

Cell and atoms, written as POSCAR:
```
La2AlPd6Pt
1.0
-2.983 -2.480 -5.220
-2.016 -6.183 0.038
-11.624 0.384 2.408
La Pd Al Pt
4 12 2 2
Direct
0.116 0.116 0.653
0.884 0.884 0.347
0.283 0.283 0.151
0.717 0.717 0.849
0.667 0.072 0.594
0.354 0.778 0.089
0.667 0.667 0.594
0.778 0.354 0.089
0.222 0.222 0.911
0.333 0.928 0.406
0.646 0.222 0.911
0.928 0.333 0.406
0.222 0.646 0.911
0.333 0.333 0.406
0.778 0.778 0.089
0.072 0.667 0.594
0.000 0.000 0.000
0.500 0.500 0.500
0.574 0.574 0.279
0.426 0.426 0.721
```


LaAl3PdPt: relaxed, PBE-GGA.

Calculated values
calculated density: 6.7 g cm⁻³
magnetization: 0.0 Bohr magnetons per cell
final energy: -0.192 hartree per atom
energy of formation from the pure elements: -0.654 eV/atom

Cell and atoms, written as POSCAR:
```
LaAl3PdPt
1.0
6.669 0.000 0.000
0.000 6.468 0.000
0.000 -3.234 5.998
La Pd Al Pt
2 2 6 2
Direct
0.250 0.749 0.499
0.750 0.251 0.501
0.750 0.609 0.217
0.250 0.391 0.783
0.000 0.288 0.000
0.250 0.196 0.392
0.500 0.712 0.000
0.500 0.288 0.000
0.750 0.804 0.608
0.000 0.712 0.000
0.750 0.000 0.000
0.250 0.000 0.000
```


LaAl4PdPt2: relaxed, PBE-GGA.

Calculated values
calculated density: 8.4 g cm⁻³
magnetization: 0.0 Bohr magnetons per cell
final energy: -0.204 hartree per atom
energy of formation from the pure elements: -0.907 eV/atom

Cell and atoms, written as POSCAR:
```
LaAl4PdPt2
1.0
4.296 0.000 0.000
2.148 3.721 0.000
2.148 1.240 9.167
Al La Pd Pt
4 1 1 2
Direct
0.406 0.406 0.782
0.594 0.594 0.218
0.133 0.133 0.600
0.867 0.867 0.400
0.000 0.000 0.000
0.500 0.500 0.500
0.767 0.767 0.699
0.233 0.233 0.301
```